(1)
## TbPuHSe2 (PBE)

Data for a relaxed TbPuHSe2 crystal.

The space group is P4/nmm (No. 129, origin choice 2) and the conventional cell measures 4.060, 4.060 and 12.531 Å, with angles of 90.00, 90.00 and 90.00 degrees. The distinct sites, in fractional coordinates, are Tb at (0.250, 0.250, 0.110), Pu at (0.250, 0.250, 0.592), H at (0.250, 0.750, 0.500), Se at (0.250, 0.250, 0.338) and Se at (0.250, 0.250, 0.875).

Its total DFT energy (no corrections) is -72.2 eV/cell. The value obtained for the total magnetization is 5.32 μB/f.u.

(2)
## Pu2TeH2Se (PBE)

Data for a relaxed Pu2TeH2Se crystal.

The space group is P-3m1 (No. 164) and the conventional cell measures 3.9613, 3.9613 and 8.0811 Å, with angles of 90.00, 90.00 and 120.00 degrees. The distinct sites, in fractional coordinates, are Pu at (0.3333, 0.6667, 0.2327), Te at (0.0000, 0.0000, 0.5000), H at (0.3333, 0.6667, 0.7591) and Se at (0.0000, 0.0000, 0.0000).

Its total DFT energy (no corrections) is -47.8 eV/cell. The value obtained for the total magnetization is 10.00 μB/f.u.

(3)
## YPuHSe2 (PBE)

Data for a relaxed YPuHSe2 crystal.

The space group is P4/nmm (No. 129, origin choice 2) and the conventional cell measures 4.055, 4.055 and 12.534 Å, with angles of 90.00, 90.00 and 90.00 degrees. The distinct sites, in fractional coordinates, are Y at (0.250, 0.250, 0.110), Pu at (0.250, 0.250, 0.592), H at (0.250, 0.750, 0.500), Se at (0.250, 0.250, 0.337) and Se at (0.250, 0.250, 0.876).

Its total DFT energy (no corrections) is -75.9 eV/cell. The value obtained for the total magnetization is 5.33 μB/f.u.

(4)
## Pu3SiH (PBE)

Data for a relaxed Pu3SiH crystal.

The space group is Pm-3m (No. 221) and the conventional cell measures 4.625, 4.625 and 4.625 Å, with angles of 90.00, 90.00 and 90.00 degrees. The distinct sites, in fractional coordinates, are Pu at (0.000, 0.000, 0.500), Si at (0.500, 0.500, 0.500) and H at (0.000, 0.000, 0.000).

Its total DFT energy (no corrections) is -52.8 eV/cell. As for the polymorph energy (0 for the lowest one): 0 meV per atom. The value obtained for the total magnetization is 18.04 μB/f.u.

(5)
## PuSiH (PBE)

Data for a relaxed PuSiH crystal.

The space group is P-6m2 (No. 187) and the conventional cell measures 3.6275, 3.6275 and 4.2988 Å, with angles of 90.00, 90.00 and 120.00 degrees. The distinct sites, in fractional coordinates, are Pu at (0.0000, 0.0000, 0.0000), Si at (0.6667, 0.3333, 0.5000) and H at (0.3333, 0.6667, 0.0000).

Its total DFT energy (no corrections) is -23.3 eV/cell. As for the polymorph energy (0 for the lowest one): 436 meV per atom. The value obtained for the total magnetization is 4.89 μB/f.u.

(6)
## Pu3SiH (PBE)

Data for a relaxed Pu3SiH crystal.

The space group is C2/m (No. 12) and the conventional cell measures 13.707, 4.407 and 5.836 Å, with angles of 90.00, 101.44 and 90.00 degrees. The distinct sites, in fractional coordinates, are Pu at (0.066, 0.000, 0.263), Pu at (0.082, 0.500, 0.465), Pu at (0.216, 0.000, 0.769), Si at (0.082, 0.500, 0.948) and H at (0.249, 0.000, 0.377).

Its total DFT energy (no corrections) is -209.9 eV/cell. As for the polymorph energy (0 for the lowest one): 60 meV per atom. The value obtained for the total magnetization is 7.67 μB/f.u.